The following is a DFT calculation (PBE-GGA) of SmPuCo2 after structural relaxation.

Cell: 3.335 3.335 6.819 Å, 90.00 90.00 90.00°
Site moments in Bohr magnetons follow the coordinates.
Sites, in units of the cell vectors:
Sm 0.500 0.500 0.500  0.19
Co 0.000 0.000 0.785  -0.84
Co 0.000 0.000 0.215  -0.84
Pu 0.500 0.500 0.000  4.97

## Properties
final energy: -8.281 eV per atom
space-group type: No. 123
total magnetic moment: 3.82 μB per cell